Compound: LaTcTeRh2
Source: the Alexandria database
Functional: GGA-PBE
Structure: relaxed

Cell and atoms, written as CIF:
```
data_LaTcTeRh2
_chemical_formula_sum 'La1 Tc1 Te1 Rh2'
_symmetry_space_group_name_H-M 'P 4/m m m'
_symmetry_Int_Tables_number 123
_symmetry_space_group_name_Hall '-P 4 2'
_cell_length_a 4.7923
_cell_length_b 4.7923
_cell_length_c 5.1456
_cell_angle_alpha 90.00
_cell_angle_beta 90.00
_cell_angle_gamma 90.00
loop_
_atom_site_label
_atom_site_type_symbol
_atom_site_fract_x
_atom_site_fract_y
_atom_site_fract_z
La1 La 0.0000 0.0000 0.0000
Tc1 Tc 0.5000 0.5000 0.5000
Te1 Te 0.5000 0.5000 0.0000
Rh1 Rh 0.0000 0.5000 0.5000
```

As for the formation energy without anion corrections: 107 meV/atom. The total energy is -6.520 eV per atom.

=====

Compound: CrSn2W
Source: the Alexandria database
Functional: GGA-PBE
Structure: relaxed

Cell and atoms, written as CIF:
```
data_CrSn2W
_chemical_formula_sum 'Cr4 Sn8 W4'
_symmetry_space_group_name_H-M 'I -4 2 d'
_symmetry_Int_Tables_number 122
_symmetry_space_group_name_Hall 'I -4 2bw'
_cell_length_a 7.4859
_cell_length_b 7.4859
_cell_length_c 5.9059
_cell_angle_alpha 90.00
_cell_angle_beta 90.00
_cell_angle_gamma 90.00
loop_
_atom_site_label
_atom_site_type_symbol
_atom_site_fract_x
_atom_site_fract_y
_atom_site_fract_z
Cr1 Cr 0.0000 0.0000 0.0000
Sn1 Sn 0.2456 0.2500 0.1250
W1 W 0.0000 0.0000 0.5000
```

Its energy above the most stable polymorph in this dataset is 158 kJ/mol of formula units. The total energy is -6.679 eV per atom. For the energy of formation, the calculation gives 0.967 eV per atom.

=====

Compound: TaReSb2
Source: the Alexandria database
Functional: GGA-PBE
Structure: relaxed

Cell and atoms, written as CIF:
```
data_TaReSb2
_chemical_formula_sum 'Ta3 Re3 Sb6'
_symmetry_space_group_name_H-M 'R 3 m'
_symmetry_Int_Tables_number 160
_symmetry_space_group_name_Hall 'R 3 -2"'
_cell_length_a 3.1566
_cell_length_b 3.1566
_cell_length_c 32.3851
_cell_angle_alpha 90.00
_cell_angle_beta 90.00
_cell_angle_gamma 120.00
loop_
_atom_site_label
_atom_site_type_symbol
_atom_site_fract_x
_atom_site_fract_y
_atom_site_fract_z
Ta1 Ta 0.0000 0.0000 0.0000
Re1 Re 0.0000 0.0000 0.7287
Sb1 Sb 0.0000 0.0000 0.2609
Sb2 Sb 0.0000 0.0000 0.4623
```

Its energy above the most stable polymorph in this dataset is 56 kJ/mol of formula units. As for the formation energy without anion corrections: 184 meV/atom. The total energy is -7.953 eV per atom.

=====

Compound: MoAs2Au
Source: the Alexandria database
Functional: GGA-PBE
Structure: relaxed

Cell and atoms, written as CIF:
```
data_MoAs2Au
_chemical_formula_sum 'Mo1 As2 Au1'
_symmetry_space_group_name_H-M 'P 1 2/m 1'
_symmetry_Int_Tables_number 10
_cell_length_a 2.7321
_cell_length_b 4.9352
_cell_length_c 5.2868
_cell_angle_alpha 90.00
_cell_angle_beta 90.03
_cell_angle_gamma 90.00
loop_
_symmetry_equiv_pos_as_xyz
'x,y,z'
'-x,-y,-z'
'-x,y,-z'
'x,-y,z'
loop_
_atom_site_label
_atom_site_type_symbol
_atom_site_fract_x
_atom_site_fract_y
_atom_site_fract_z
Mo1 Mo 0.0000 0.0000 0.0000
As1 As 0.0021 0.5000 0.2376
Au1 Au 0.5000 0.0000 0.5000
```

Its energy above the most stable polymorph in this dataset is 116 kJ/mol of formula units. The total energy is -5.518 eV per atom. For the energy of formation, the calculation gives 0.334 eV per atom.

=====

Compound: Nd3Ru5N12
Source: the Alexandria database
Functional: GGA-PBE
Structure: relaxed

Cell and atoms, written as CIF:
```
data_Nd3Ru5N12
_chemical_formula_sum 'Nd24 Ru40 N96'
_symmetry_space_group_name_H-M 'I a -3 d'
_symmetry_Int_Tables_number 230
_symmetry_space_group_name_Hall '-I 4bd 2c 3'
_cell_length_a 12.8275
_cell_length_b 12.8275
_cell_length_c 12.8275
_cell_angle_alpha 90.00
_cell_angle_beta 90.00
_cell_angle_gamma 90.00
loop_
_atom_site_label
_atom_site_type_symbol
_atom_site_fract_x
_atom_site_fract_y
_atom_site_fract_z
Nd1 Nd 0.0000 0.2500 0.1250
Ru1 Ru 0.0000 0.0000 0.0000
Ru2 Ru 0.0000 0.2500 0.3750
N1 N 0.0338 0.0467 0.6490
```

As for the formation energy without anion corrections: -118 meV/atom. The total energy is -8.147 eV per atom.

=====

Compound: CsCr3Cl
Source: the Alexandria database
Functional: GGA-PBE
Structure: relaxed

Cell and atoms, written as CIF:
```
data_CsCr3Cl
_chemical_formula_sum 'Cs1 Cr3 Cl1'
_symmetry_space_group_name_H-M 'P m -3 m'
_symmetry_Int_Tables_number 221
_symmetry_space_group_name_Hall '-P 4 2 3'
_cell_length_a 5.3125
_cell_length_b 5.3125
_cell_length_c 5.3125
_cell_angle_alpha 90.00
_cell_angle_beta 90.00
_cell_angle_gamma 90.00
loop_
_atom_site_label
_atom_site_type_symbol
_atom_site_fract_x
_atom_site_fract_y
_atom_site_fract_z
Cs1 Cs 0.0000 0.0000 0.0000
Cr1 Cr 0.0000 0.5000 0.5000
Cl1 Cl 0.5000 0.5000 0.5000
```

Its energy above the most stable polymorph in this dataset is 0 kJ/mol of formula units. As for the formation energy without anion corrections: 1241 meV/atom. The total energy is -5.073 eV per atom.

=====

Compound: LiSc2Re
Source: the Alexandria database
Functional: GGA-PBE
Structure: relaxed

Cell and atoms, written as CIF:
```
data_LiSc2Re
_chemical_formula_sum 'Li1 Sc2 Re1'
_symmetry_space_group_name_H-M 'P 4/m m m'
_symmetry_Int_Tables_number 123
_symmetry_space_group_name_Hall '-P 4 2'
_cell_length_a 3.2758
_cell_length_b 3.2758
_cell_length_c 7.4941
_cell_angle_alpha 90.00
_cell_angle_beta 90.00
_cell_angle_gamma 90.00
loop_
_atom_site_label
_atom_site_type_symbol
_atom_site_fract_x
_atom_site_fract_y
_atom_site_fract_z
Li1 Li 0.0000 0.0000 0.0000
Sc1 Sc 0.5000 0.5000 0.2947
Re1 Re 0.0000 0.0000 0.5000
```

The total energy is -6.800 eV per atom. For the energy of formation, the calculation gives -0.044 eV per atom.

=====

Compound: MnCuS2
Source: the Alexandria database
Functional: GGA-PBE
Structure: relaxed

Cell and atoms, written as CIF:
```
data_MnCuS2
_chemical_formula_sum 'Mn2 Cu2 S4'
_symmetry_space_group_name_H-M 'P 1 21/m 1'
_symmetry_Int_Tables_number 11
_cell_length_a 5.8720
_cell_length_b 3.2075
_cell_length_c 6.8857
_cell_angle_alpha 90.00
_cell_angle_beta 96.86
_cell_angle_gamma 90.00
loop_
_symmetry_equiv_pos_as_xyz
'x,y,z'
'-x,-y,-z'
'-x,y+1/2,-z'
'x,-y+1/2,z'
loop_
_atom_site_label
_atom_site_type_symbol
_atom_site_fract_x
_atom_site_fract_y
_atom_site_fract_z
Mn1 Mn 0.1455 0.2500 0.1041
Cu1 Cu 0.4590 0.7500 0.6526
S1 S 0.2312 0.7500 0.8942
S2 S 0.2379 0.7500 0.3477
```

As for the formation energy without anion corrections: -375 meV/atom. The total energy is -5.755 eV per atom.

=====

Compound: TlSiPd3
Source: the Alexandria database
Functional: GGA-PBE
Structure: relaxed

Cell and atoms, written as CIF:
```
data_TlSiPd3
_chemical_formula_sum 'Tl1 Si1 Pd3'
_symmetry_space_group_name_H-M 'P m -3 m'
_symmetry_Int_Tables_number 221
_symmetry_space_group_name_Hall '-P 4 2 3'
_cell_length_a 5.0137
_cell_length_b 5.0137
_cell_length_c 5.0137
_cell_angle_alpha 90.00
_cell_angle_beta 90.00
_cell_angle_gamma 90.00
loop_
_atom_site_label
_atom_site_type_symbol
_atom_site_fract_x
_atom_site_fract_y
_atom_site_fract_z
Tl1 Tl 0.0000 0.0000 0.0000
Si1 Si 0.5000 0.5000 0.5000
Pd1 Pd 0.0000 0.0000 0.5000
```

Its energy above the most stable polymorph in this dataset is 563 kJ/mol of formula units. As for the formation energy without anion corrections: 1077 meV/atom. The total energy is -3.596 eV per atom.

=====

Compound: RbCaPb2Cl
Source: the Alexandria database
Functional: GGA-PBE
Structure: relaxed

Cell and atoms, written as CIF:
```
data_RbCaPb2Cl
_chemical_formula_sum 'Rb1 Ca1 Pb2 Cl1'
_symmetry_space_group_name_H-M 'P 4/m m m'
_symmetry_Int_Tables_number 123
_symmetry_space_group_name_Hall '-P 4 2'
_cell_length_a 5.8798
_cell_length_b 5.8798
_cell_length_c 9.4357
_cell_angle_alpha 90.00
_cell_angle_beta 90.00
_cell_angle_gamma 90.00
loop_
_atom_site_label
_atom_site_type_symbol
_atom_site_fract_x
_atom_site_fract_y
_atom_site_fract_z
Rb1 Rb 0.0000 0.0000 0.0000
Ca1 Ca 0.0000 0.0000 0.5000
Pb1 Pb 0.0000 0.5000 0.5000
Cl1 Cl 0.5000 0.5000 0.0000
```

As for the formation energy without anion corrections: 68 meV/atom. The total energy is -2.379 eV per atom.